First-principles (PBE-GGA) data for a geometry-optimized La5Os2Pb structure, as listed in the Alexandria database.

Lattice parameters (Å, degrees): 8.073 8.073 14.489 90.00 90.00 90.00
Space group I4/mcm (No. 140)
Inequivalent atoms, fractional coordinates:
La 0.000 0.000 0.000 (multiplicity 4)
La 0.161 0.339 0.128 (multiplicity 16)
Os 0.139 0.361 0.500 (multiplicity 8)
Pb 0.000 0.000 0.250 (multiplicity 4)

DOS(E_F), states/eV/cell: 34.12
Total energy, eV/atom: -6.6776
E_form, eV per atom: -0.33



First-principles (PBE-GGA) data for a geometry-optimized La3OsPb structure, as listed in the Alexandria database.

Lattice parameters (Å, degrees): 14.548 13.502 6.513 90.00 105.58 90.00
Space group C2/c (No. 15)
Inequivalent atoms, fractional coordinates:
La 0.079 0.188 0.028 (multiplicity 8)
La 0.109 0.437 0.134 (multiplicity 8)
La 0.156 0.071 0.572 (multiplicity 8)
Os 0.000 0.002 0.750 (multiplicity 4)
Os 0.000 0.387 0.750 (multiplicity 4)
Pb 0.171 0.320 0.651 (multiplicity 8)

DOS(E_F), states/eV/cell: 29.65
Total energy, eV/atom: -6.1876
E_form, eV per atom: -0.24



First-principles (PBE-GGA) data for a geometry-optimized La4OsPb2 structure, as listed in the Alexandria database.

Lattice parameters (Å, degrees): 12.043 4.788 9.033 90.00 120.68 90.00
Space group C2/m (No. 12)
Inequivalent atoms, fractional coordinates:
La 0.066 0.000 0.343 (multiplicity 4)
La 0.167 0.500 0.054 (multiplicity 4)
Os 0.000 0.000 0.000 (multiplicity 2)
Pb 0.150 0.500 0.658 (multiplicity 4)

DOS(E_F), states/eV/cell: 10.08
Total energy, eV/atom: -5.9304
E_form, eV per atom: -0.45



First-principles (PBE-GGA) data for a geometry-optimized La2OsPb structure, as listed in the Alexandria database.

Lattice parameters (Å, degrees): 4.1468 4.1468 25.4689 90.00 90.00 120.00
Space group R-3m (No. 166, hexagonal axes)
Inequivalent atoms, fractional coordinates:
La 0.0000 0.0000 0.2286 (multiplicity 6)
Os 0.0000 0.0000 0.5000 (multiplicity 3)
Pb 0.0000 0.0000 0.0000 (multiplicity 3)

DOS(E_F), states/eV/cell: 5.54
Total energy, eV/atom: -6.3354
E_form, eV per atom: -0.14



First-principles (PBE-GGA) data for a geometry-optimized La2OsPb structure, as listed in the Alexandria database.

Lattice parameters (Å, degrees): 4.004 4.856 11.785 90.00 90.00 90.00
Space group Amm2 (No. 38)
Inequivalent atoms, fractional coordinates:
La 0.000 0.000 0.000 (multiplicity 2)
La 0.500 0.000 0.299 (multiplicity 2)
Os 0.000 0.000 0.774 (multiplicity 2)
Pb 0.500 0.000 0.599 (multiplicity 2)

DOS(E_F), states/eV/cell: 6.64
Total energy, eV/atom: -6.3523
E_form, eV per atom: -0.15



First-principles (PBE-GGA) data for a geometry-optimized La3OsPb structure, as listed in the Alexandria database.

Lattice parameters (Å, degrees): 5.548 5.548 5.548 90.00 90.00 90.00
Space group Pm-3m (No. 221)
Inequivalent atoms, fractional coordinates:
La 0.000 0.000 0.500 (multiplicity 3)
Os 0.000 0.000 0.000 (multiplicity 1)
Pb 0.500 0.500 0.500 (multiplicity 1)

DOS(E_F), states/eV/cell: 4.08
Total energy, eV/atom: -6.2561
E_form, eV per atom: -0.31



First-principles (PBE-GGA) data for a geometry-optimized La3OsPb structure, as listed in the Alexandria database.

Lattice parameters (Å, degrees): 16.315 4.609 8.439 90.00 107.92 90.00
Space group C2/m (No. 12)
Inequivalent atoms, fractional coordinates:
La 0.050 0.000 0.240 (multiplicity 4)
La 0.120 0.500 0.618 (multiplicity 4)
La 0.175 0.000 0.985 (multiplicity 4)
Os 0.056 0.500 0.920 (multiplicity 4)
Pb 0.218 0.500 0.307 (multiplicity 4)

DOS(E_F), states/eV/cell: 14.85
Total energy, eV/atom: -6.1759
E_form, eV per atom: -0.23



First-principles (PBE-GGA) data for a geometry-optimized La3OsPb structure, as listed in the Alexandria database.

Lattice parameters (Å, degrees): 8.687 4.663 15.418 90.00 90.00 90.00
Space group Pnma (No. 62)
Inequivalent atoms, fractional coordinates:
La 0.010 0.250 0.107 (multiplicity 4)
La 0.147 0.250 0.506 (multiplicity 4)
La 0.183 0.750 0.290 (multiplicity 4)
Os 0.184 0.250 0.944 (multiplicity 4)
Pb 0.103 0.750 0.673 (multiplicity 4)

DOS(E_F), states/eV/cell: 15.20
Total energy, eV/atom: -6.3504
E_form, eV per atom: -0.41



First-principles (PBE-GGA) data for a geometry-optimized La3OsPb structure, as listed in the Alexandria database.

Lattice parameters (Å, degrees): 6.088 6.088 22.680 90.00 90.00 90.00
Space group I-4m2 (No. 119)
Inequivalent atoms, fractional coordinates:
La 0.000 0.000 0.212 (multiplicity 4)
La 0.000 0.233 0.628 (multiplicity 8)
Os 0.000 0.500 0.198 (multiplicity 4)
Pb 0.000 0.000 0.500 (multiplicity 2)
Pb 0.000 0.500 0.750 (multiplicity 2)

DOS(E_F), states/eV/cell: 24.53
Total energy, eV/atom: -5.4021
E_form, eV per atom: 0.54



First-principles (PBE-GGA) data for a geometry-optimized La4OsPb structure, as listed in the Alexandria database.

Lattice parameters (Å, degrees): 9.080 14.185 6.381 90.00 110.86 90.00
Space group C2/c (No. 15)
Inequivalent atoms, fractional coordinates:
La 0.110 0.172 0.060 (multiplicity 8)
La 0.223 0.428 0.366 (multiplicity 8)
Os 0.000 0.000 0.250 (multiplicity 4)
Pb 0.000 0.376 0.750 (multiplicity 4)

DOS(E_F), states/eV/cell: 30.47
Total energy, eV/atom: -6.1108
E_form, eV per atom: -0.34



First-principles (PBE-GGA) data for a geometry-optimized La3OsPb structure, as listed in the Alexandria database.

Lattice parameters (Å, degrees): 8.8200 8.8200 13.5110 90.00 90.00 120.00
Space group R-3c (No. 167, hexagonal axes)
Inequivalent atoms, fractional coordinates:
La 0.0000 0.3042 0.2500 (multiplicity 18)
Os 0.0000 0.0000 0.2500 (multiplicity 6)
Pb 0.0000 0.0000 0.0000 (multiplicity 6)

DOS(E_F), states/eV/cell: 24.61
Total energy, eV/atom: -6.0210
E_form, eV per atom: -0.08



First-principles (PBE-GGA) data for a geometry-optimized La3OsPb structure, as listed in the Alexandria database.

Lattice parameters (Å, degrees): 5.0757 5.0757 16.8488 90.00 90.00 120.00
Space group P6_3/mmc (No. 194)
Inequivalent atoms, fractional coordinates:
La 0.0000 0.0000 0.2500 (multiplicity 2)
La 0.3333 0.6667 0.0909 (multiplicity 4)
Os 0.3333 0.6667 0.2500 (multiplicity 2)
Pb 0.0000 0.0000 0.0000 (multiplicity 2)

DOS(E_F), states/eV/cell: 10.82
Total energy, eV/atom: -6.0396
E_form, eV per atom: -0.10



First-principles (PBE-GGA) data for a geometry-optimized La2OsPb structure, as listed in the Alexandria database.

Lattice parameters (Å, degrees): 4.293 5.657 9.195 90.00 90.00 90.00
Space group Immm (No. 71)
Inequivalent atoms, fractional coordinates:
La 0.000 0.000 0.200 (multiplicity 4)
Os 0.000 0.500 0.500 (multiplicity 2)
Pb 0.000 0.500 0.000 (multiplicity 2)

DOS(E_F), states/eV/cell: 3.54
Total energy, eV/atom: -6.3369
E_form, eV per atom: -0.14



First-principles (PBE-GGA) data for a geometry-optimized LaOsPb3 structure, as listed in the Alexandria database.

Lattice parameters (Å, degrees): 5.332 5.332 5.332 90.00 90.00 90.00
Space group Pm-3m (No. 221)
Inequivalent atoms, fractional coordinates:
La 0.000 0.000 0.000 (multiplicity 1)
Os 0.500 0.500 0.500 (multiplicity 1)
Pb 0.000 0.500 0.500 (multiplicity 3)

DOS(E_F), states/eV/cell: 7.79
Total energy, eV/atom: -5.0614
E_form, eV per atom: 0.39



First-principles (PBE-GGA) data for a geometry-optimized La6OsPb structure, as listed in the Alexandria database.

Lattice parameters (Å, degrees): 8.533 10.286 6.675 90.00 106.33 90.00
Space group C2/m (No. 12)
Inequivalent atoms, fractional coordinates:
La 0.102 0.194 0.295 (multiplicity 8)
La 0.204 0.500 0.095 (multiplicity 4)
Os 0.000 0.000 0.000 (multiplicity 2)
Pb 0.000 0.500 0.500 (multiplicity 2)

DOS(E_F), states/eV/cell: 18.55
Total energy, eV/atom: -5.7275
E_form, eV per atom: -0.16



First-principles (PBE-GGA) data for a geometry-optimized La3OsPb structure, as listed in the Alexandria database.

Lattice parameters (Å, degrees): 6.301 6.301 18.384 90.00 90.00 90.00
Space group I-4m2 (No. 119)
Inequivalent atoms, fractional coordinates:
La 0.000 0.000 0.224 (multiplicity 4)
La 0.000 0.254 0.612 (multiplicity 8)
Os 0.000 0.000 0.500 (multiplicity 2)
Os 0.000 0.500 0.750 (multiplicity 2)
Pb 0.000 0.500 0.149 (multiplicity 4)

DOS(E_F), states/eV/cell: 11.81
Total energy, eV/atom: -5.7989
E_form, eV per atom: 0.15



First-principles (PBE-GGA) data for a geometry-optimized La2OsPb structure, as listed in the Alexandria database.

Lattice parameters (Å, degrees): 3.523 4.980 12.859 90.00 90.00 90.00
Space group Imm2 (No. 44)
Inequivalent atoms, fractional coordinates:
La 0.000 0.000 0.000 (multiplicity 2)
La 0.000 0.500 0.198 (multiplicity 2)
Os 0.000 0.000 0.503 (multiplicity 2)
Pb 0.000 0.500 0.820 (multiplicity 2)

DOS(E_F), states/eV/cell: 7.09
Total energy, eV/atom: -6.3423
E_form, eV per atom: -0.14



First-principles (PBE-GGA) data for a geometry-optimized La4OsPb2 structure, as listed in the Alexandria database.

Lattice parameters (Å, degrees): 5.368 5.368 17.236 90.00 90.00 90.00
Space group I4/mmm (No. 139)
Inequivalent atoms, fractional coordinates:
La 0.000 0.000 0.173 (multiplicity 4)
La 0.000 0.500 0.000 (multiplicity 4)
Os 0.000 0.000 0.000 (multiplicity 2)
Pb 0.000 0.000 0.362 (multiplicity 4)

DOS(E_F), states/eV/cell: 12.27
Total energy, eV/atom: -5.8193
E_form, eV per atom: -0.34



First-principles (PBE-GGA) data for a geometry-optimized La3OsPb structure, as listed in the Alexandria database.

Lattice parameters (Å, degrees): 9.0005 9.0005 12.5608 90.00 90.00 120.00
Space group R-3 (No. 148, hexagonal axes)
Inequivalent atoms, fractional coordinates:
La 0.0097 0.3213 0.3978 (multiplicity 18)
Os 0.0000 0.0000 0.4003 (multiplicity 6)
Pb 0.0000 0.0000 0.1532 (multiplicity 6)

DOS(E_F), states/eV/cell: 24.68
Total energy, eV/atom: -6.1475
E_form, eV per atom: -0.20



First-principles (PBE-GGA) data for a geometry-optimized La3OsPb structure, as listed in the Alexandria database.

Lattice parameters (Å, degrees): 6.617 9.949 8.955 90.00 90.00 90.00
Space group Pnma (No. 62)
Inequivalent atoms, fractional coordinates:
La 0.146 0.052 0.186 (multiplicity 8)
La 0.185 0.750 0.378 (multiplicity 4)
Os 0.000 0.000 0.500 (multiplicity 4)
Pb 0.216 0.750 0.987 (multiplicity 4)

DOS(E_F), states/eV/cell: 19.80
Total energy, eV/atom: -6.1627
E_form, eV per atom: -0.22